# 1
KAlPCl2: optimized geometry, PBE.

Computed properties:
The uncorrected formation energy comes out at -0.78 eV per atom. As for the space-group type: P4/mmm (123).

```
KAlPCl2
1.0
5.122 0.000 0.000
0.000 5.122 0.000
0.000 0.000 4.654
K Al P Cl
1 1 1 2
direct
0.000 0.000 0.000
0.500 0.500 0.500
0.500 0.500 0.000
0.000 0.500 0.500
0.500 0.000 0.500
```


# 2
BaBe2Si: optimized geometry, PBE.

Computed properties:
The uncorrected formation energy comes out at 0.12 eV per atom. As for the space-group type: Pm (6).

```
BaBe2Si
1.0
4.141 0.000 0.000
0.000 3.850 0.000
-1.305 0.000 5.311
Ba Be Si
1 2 1
direct
0.000 0.000 0.000
0.266 0.500 0.567
0.485 0.000 0.513
0.702 0.500 0.410
```


# 3
TiCuOF2: optimized geometry, PBE.

Computed properties:
The uncorrected formation energy comes out at -1.98 eV per atom. As for the space-group type: P4/mmm (123).

```
TiCuOF2
1.0
4.041 0.000 0.000
0.000 4.041 0.000
0.000 0.000 3.819
Ti Cu O F
1 1 1 2
direct
0.000 0.000 0.000
0.500 0.500 0.500
0.000 0.000 0.500
0.000 0.500 0.000
0.500 0.000 0.000
```


# 4
YTm4Ni2: optimized geometry, PBE.

Computed properties:
Its energy relative to the elements is -184 meV per atom. As for the space-group type: P2_1/m (11).

```
YTm4Ni2
1.0
7.527 0.000 0.000
0.000 6.282 0.000
-2.935 0.000 7.185
Y Tm Ni
2 8 4
direct
0.151 0.250 0.022
0.849 0.750 0.978
0.025 0.250 0.388
0.256 0.750 0.344
0.409 0.003 0.767
0.409 0.497 0.767
0.591 0.503 0.233
0.591 0.997 0.233
0.744 0.250 0.656
0.975 0.750 0.612
0.260 0.750 0.993
0.381 0.250 0.418
0.619 0.750 0.582
0.740 0.250 0.007
```


# 5
Fe2CoRh9: optimized geometry, PBE.

Computed properties:
Its energy relative to the elements is -15 meV per atom. As for the space-group type: P4/mmm (123).

```
Fe2CoRh9
1.0
3.802 0.000 0.000
0.000 3.802 0.000
0.000 0.000 11.420
Fe Co Rh
2 1 9
direct
0.000 0.000 0.166
0.000 0.000 0.834
0.000 0.000 0.500
0.000 0.500 0.000
0.000 0.500 0.335
0.000 0.500 0.665
0.500 0.000 0.000
0.500 0.000 0.335
0.500 0.000 0.665
0.500 0.500 0.167
0.500 0.500 0.500
0.500 0.500 0.833
```


# 6
HoTm4Cu2: optimized geometry, PBE.

Computed properties:
Its energy relative to the elements is 138 meV per atom. As for the space-group type: R-3m (166).

```
HoTm4Cu2
1.0
2.385 1.377 9.676
-2.385 1.377 9.676
0.000 -2.754 9.676
Ho Tm Cu
1 4 2
direct
0.000 0.000 0.000
0.200 0.200 0.200
0.402 0.402 0.402
0.598 0.598 0.598
0.800 0.800 0.800
0.101 0.101 0.101
0.899 0.899 0.899
```


# 7
BaLaSe2: optimized geometry, PBE.

Computed properties:
The uncorrected formation energy comes out at -1.92 eV per atom. As for the space-group type: R3m (160).

```
BaLaSe2
1.0
2.188 1.263 7.821
-2.188 1.263 7.821
0.000 -2.526 7.821
Ba La Se
1 1 2
direct
0.000 0.000 0.000
0.174 0.174 0.174
0.580 0.580 0.580
0.763 0.763 0.763
```


# 8
TlCdNiAs2: optimized geometry, PBE.

Computed properties:
Its energy relative to the elements is 184 meV per atom. As for the space-group type: P4/mmm (123).

```
TlCdNiAs2
1.0
4.710 0.000 0.000
0.000 4.710 0.000
0.000 0.000 5.084
Tl Cd Ni As
1 1 1 2
direct
0.000 0.000 0.000
0.500 0.500 0.000
0.500 0.500 0.500
0.000 0.500 0.500
0.500 0.000 0.500
```


# 9
TlSiIr2: optimized geometry, PBE.

Computed properties:
The uncorrected formation energy comes out at 0.48 eV per atom. As for the space-group type: I-4m2 (119).

```
TlSiIr2
1.0
-1.896 1.896 4.563
1.896 -1.896 4.563
1.896 1.896 -4.563
Tl Si Ir
1 1 2
direct
0.000 0.000 0.000
0.750 0.250 0.500
0.250 0.750 0.500
0.500 0.500 0.000
```


# 10
LuZnBi2: optimized geometry, PBE.

Computed properties:
Its energy relative to the elements is -227 meV per atom. As for the space-group type: P4/mmm (123).

```
LuZnBi2
1.0
4.026 0.000 0.000
0.000 4.026 0.000
0.000 0.000 6.532
Lu Zn Bi
1 1 2
direct
0.000 0.000 0.000
0.000 0.000 0.500
0.500 0.500 0.251
0.500 0.500 0.749
```


# 11
Cs5Th3Te8: optimized geometry, PBE.

Computed properties:
The uncorrected formation energy comes out at -1.17 eV per atom. As for the space-group type: R-3m (166).

```
Cs5Th3Te8
1.0
4.845 2.797 8.867
-4.845 2.797 8.867
0.000 -5.594 8.867
Cs Th Te
5 3 8
direct
0.000 0.000 0.000
0.000 0.500 0.500
0.500 0.000 0.500
0.500 0.500 0.000
0.500 0.500 0.500
0.000 0.000 0.500
0.000 0.500 0.000
0.500 0.000 0.000
0.193 0.751 0.751
0.231 0.231 0.231
0.249 0.249 0.807
0.249 0.807 0.249
0.751 0.193 0.751
0.751 0.751 0.193
0.769 0.769 0.769
0.807 0.249 0.249
```


# 12
Ac2Ga7Cu12: optimized geometry, PBE.

Computed properties:
Its energy relative to the elements is -196 meV per atom. As for the space-group type: P-6 (174).

```
Ac2Ga7Cu12
1.0
9.761 0.000 0.000
-4.880 8.453 0.000
0.000 0.000 4.121
Ac Ga Cu
2 7 12
direct
0.000 0.000 0.000
0.333 0.667 0.500
0.030 0.559 0.000
0.284 0.023 0.500
0.441 0.471 0.000
0.529 0.970 0.000
0.667 0.333 0.000
0.738 0.716 0.500
0.977 0.262 0.500
0.026 0.743 0.500
0.141 0.372 0.000
0.231 0.859 0.000
0.257 0.284 0.500
0.376 0.186 0.000
0.554 0.399 0.500
0.601 0.155 0.500
0.628 0.769 0.000
0.716 0.974 0.500
0.810 0.624 0.000
0.814 0.190 0.000
0.845 0.446 0.500
```


Energy / eV/atom: -3.57; -3.58; -6.12; -5.31; -7.53; -4.24; -5.37; -3.49; -5.90; -3.62; -4.40; -3.94
DOS(E_F) / states/eV/cell: 1.888; 2.112; 2.535; 18.141; 14.906; 7.767; 2.618; 4.832; 4.571; 2.056; 6.773; 11.537